(1)
# PBE Sm2DyScSe4, relaxed
data_Sm2DyScSe4
_space_group_name_H-M_alt 'P 1 2/m 1'
_space_group_IT_number 10
_cell_length_a 7.0176
_cell_length_b 4.0260
_cell_length_c 7.1771
_cell_angle_alpha 90.00
_cell_angle_beta 108.85
_cell_angle_gamma 90.00
loop_
_space_group_symop_operation_xyz
'x,y,z'
'-x,-y,-z'
'-x,y,-z'
'x,-y,z'
loop_
_atom_site_label
_atom_site_fract_x
_atom_site_fract_y
_atom_site_fract_z
Sm1 0.0000 0.0000 0.0000
Sm2 0.5000 0.5000 0.0000
Dy1 0.0000 0.5000 0.5000
Sc1 0.5000 0.0000 0.5000
Se1 0.2521 0.0000 0.7357
Se2 0.2634 0.5000 0.2693
# - Formation energy (no corrections): -1733 meV/atom
# - Total magnetization: 0.00 μB per formula unit


(2)
# PBE PSe2, relaxed
data_PSe2
_space_group_name_H-M_alt 'C 1 m 1'
_space_group_IT_number 8
_cell_length_a 14.4833
_cell_length_b 3.2361
_cell_length_c 8.5392
_cell_angle_alpha 90.00
_cell_angle_beta 106.18
_cell_angle_gamma 90.00
loop_
_space_group_symop_operation_xyz
'x,y,z'
'x,-y,z'
'x+1/2,y+1/2,z'
'x+1/2,-y+1/2,z'
loop_
_atom_site_label
_atom_site_fract_x
_atom_site_fract_y
_atom_site_fract_z
P1 0.0000 0.0000 0.0000
P2 0.0025 0.5000 0.7387
Se1 0.0317 0.5000 0.2338
Se2 0.0961 0.0000 0.6724
Se3 0.1967 0.5000 0.3311
Se4 0.3442 0.5000 0.9328
# - Formation energy (no corrections): 205 meV/atom
# - Polymorph energy (0 for the lowest one): 0.175 eV per atom
# - Total magnetization: 0.00 μB per formula unit


(3)
# PBE KSbAsBr2, relaxed
data_KSbAsBr2
_space_group_name_H-M_alt 'P 4/m m m'
_space_group_IT_number 123
_space_group_name_Hall '-P 4 2'
_cell_length_a 5.8770
_cell_length_b 5.8770
_cell_length_c 5.3657
_cell_angle_alpha 90.00
_cell_angle_beta 90.00
_cell_angle_gamma 90.00
loop_
_atom_site_label
_atom_site_fract_x
_atom_site_fract_y
_atom_site_fract_z
K1 0.0000 0.0000 0.0000
Sb1 0.5000 0.5000 0.5000
As1 0.5000 0.5000 0.0000
Br1 0.0000 0.5000 0.5000
# - Formation energy (no corrections): -421 meV/atom
# - Polymorph energy (0 for the lowest one): 0.000 eV per atom
# - Total magnetization: 0.77 μB per formula unit


(4)
# PBE NdDyLuGa, relaxed
data_NdDyLuGa
_space_group_name_H-M_alt 'F -4 3 m'
_space_group_IT_number 216
_space_group_name_Hall 'F -4 2 3'
_cell_length_a 7.5566
_cell_length_b 7.5566
_cell_length_c 7.5566
_cell_angle_alpha 90.00
_cell_angle_beta 90.00
_cell_angle_gamma 90.00
loop_
_atom_site_label
_atom_site_fract_x
_atom_site_fract_y
_atom_site_fract_z
Nd1 0.0000 0.0000 0.0000
Dy1 0.0000 0.0000 0.5000
Lu1 0.2500 0.2500 0.7500
Ga1 0.2500 0.2500 0.2500
# - Electronic total energy: -4.339 eV/atom
# - Total magnetization: 0.04 μB per formula unit


(5)
# PBE CaTlOs2, relaxed
data_CaTlOs2
_space_group_name_H-M_alt 'R -3 m'
_space_group_IT_number 166
_space_group_name_Hall '-R 3 2"'
_cell_length_a 3.0124
_cell_length_b 3.0124
_cell_length_c 28.5430
_cell_angle_alpha 90.00
_cell_angle_beta 90.00
_cell_angle_gamma 120.00
loop_
_atom_site_label
_atom_site_fract_x
_atom_site_fract_y
_atom_site_fract_z
Ca1 0.0000 0.0000 0.0000
Tl1 0.0000 0.0000 0.5000
Os1 0.0000 0.0000 0.2478
# - Polymorph energy (0 for the lowest one): 0.716 eV per atom
# - Total magnetization: 0.51 μB per formula unit


(6)
# PBE SrInPb2, relaxed
data_SrInPb2
_space_group_name_H-M_alt 'I m m 2'
_space_group_IT_number 44
_cell_length_a 4.8303
_cell_length_b 4.9276
_cell_length_c 10.6557
_cell_angle_alpha 90.00
_cell_angle_beta 90.00
_cell_angle_gamma 90.00
loop_
_space_group_symop_operation_xyz
'x,y,z'
'-x,-y,z'
'-x,y,z'
'x,-y,z'
'x+1/2,y+1/2,z+1/2'
'-x+1/2,-y+1/2,z+1/2'
'-x+1/2,y+1/2,z+1/2'
'x+1/2,-y+1/2,z+1/2'
loop_
_atom_site_label
_atom_site_fract_x
_atom_site_fract_y
_atom_site_fract_z
Sr1 0.0000 0.0000 0.0000
In1 0.0000 0.5000 0.7380
Pb1 0.0000 0.0000 0.4538
Pb2 0.0000 0.5000 0.2377
# - Electronic total energy: -3.256 eV/atom
# - Total magnetization: 0.00 μB per formula unit


(7)
# PBE Y3ZnRu3, relaxed
data_Y3ZnRu3
_space_group_name_H-M_alt 'C m c m'
_space_group_IT_number 63
_space_group_name_Hall '-C 2c 2'
_cell_length_a 4.3280
_cell_length_b 10.2292
_cell_length_c 13.2493
_cell_angle_alpha 90.00
_cell_angle_beta 90.00
_cell_angle_gamma 90.00
loop_
_atom_site_label
_atom_site_fract_x
_atom_site_fract_y
_atom_site_fract_z
Y1 0.0000 0.0043 0.2500
Y2 0.0000 0.2932 0.1047
Zn1 0.0000 0.0000 0.0000
Ru1 0.0000 0.2902 0.7500
Ru2 0.0000 0.4190 0.5925
# - Electronic total energy: -7.264 eV/atom
# - Total magnetization: 0.00 μB per formula unit


(8)
# PBE Li8Mg2Ga, relaxed
data_Li8Mg2Ga
_space_group_name_H-M_alt 'C 1 2/m 1'
_space_group_IT_number 12
_cell_length_a 15.5114
_cell_length_b 4.6875
_cell_length_c 5.6878
_cell_angle_alpha 90.00
_cell_angle_beta 93.57
_cell_angle_gamma 90.00
loop_
_space_group_symop_operation_xyz
'x,y,z'
'-x,-y,-z'
'-x,y,-z'
'x,-y,z'
'x+1/2,y+1/2,z'
'-x+1/2,-y+1/2,-z'
'-x+1/2,y+1/2,-z'
'x+1/2,-y+1/2,z'
loop_
_atom_site_label
_atom_site_fract_x
_atom_site_fract_y
_atom_site_fract_z
Li1 0.0346 0.0000 0.2526
Li2 0.0867 0.5000 0.9419
Li3 0.1415 0.0000 0.6652
Li4 0.1676 0.5000 0.4046
Mg1 0.2228 0.0000 0.1525
Ga1 0.0000 0.5000 0.5000
# - Polymorph energy (0 for the lowest one): 0.000 eV per atom
# - Total magnetization: 0.00 μB per formula unit


(9)
# PBE PbSe3, relaxed
data_PbSe3
_space_group_name_H-M_alt 'R -3 m'
_space_group_IT_number 166
_space_group_name_Hall '-R 3 2"'
_cell_length_a 4.3997
_cell_length_b 4.3997
_cell_length_c 18.3516
_cell_angle_alpha 90.00
_cell_angle_beta 90.00
_cell_angle_gamma 120.00
loop_
_atom_site_label
_atom_site_fract_x
_atom_site_fract_y
_atom_site_fract_z
Pb1 0.0000 0.0000 0.0000
Se1 0.0000 0.0000 0.2433
Se2 0.0000 0.0000 0.5000
# - Formation energy (no corrections): 9 meV/atom
# - Total magnetization: 0.00 μB per formula unit


(10)
# PBE Ac2MgP, relaxed
data_Ac2MgP
_space_group_name_H-M_alt 'R -3 m'
_space_group_IT_number 166
_space_group_name_Hall '-R 3 2"'
_cell_length_a 4.1040
_cell_length_b 4.1040
_cell_length_c 32.9272
_cell_angle_alpha 90.00
_cell_angle_beta 90.00
_cell_angle_gamma 120.00
loop_
_atom_site_label
_atom_site_fract_x
_atom_site_fract_y
_atom_site_fract_z
Ac1 0.0000 0.0000 0.1117
Mg1 0.0000 0.0000 0.0000
P1 0.0000 0.0000 0.5000
# - Polymorph energy (0 for the lowest one): 0.133 eV per atom
# - Total magnetization: 0.00 μB per formula unit


(11)
# PBE LiSmPt3, relaxed
data_LiSmPt3
_space_group_name_H-M_alt 'I m m a'
_space_group_IT_number 74
_space_group_name_Hall '-I 2b 2'
_cell_length_a 5.5060
_cell_length_b 7.4799
_cell_length_c 8.9169
_cell_angle_alpha 90.00
_cell_angle_beta 90.00
_cell_angle_gamma 90.00
loop_
_atom_site_label
_atom_site_fract_x
_atom_site_fract_y
_atom_site_fract_z
Li1 0.0000 0.0000 0.0000
Sm1 0.0000 0.2500 0.4982
Pt1 0.0000 0.2500 0.8136
Pt2 0.2500 0.0581 0.2500
# - Electronic total energy: -5.697 eV/atom
# - Total magnetization: 0.00 μB per formula unit


(12)
# PBE Cs6NaI8, relaxed
data_Cs6NaI8
_space_group_name_H-M_alt 'P -3'
_space_group_IT_number 147
_cell_length_a 11.3082
_cell_length_b 11.3082
_cell_length_c 7.4677
_cell_angle_alpha 90.00
_cell_angle_beta 90.00
_cell_angle_gamma 120.00
loop_
_space_group_symop_operation_xyz
'x,y,z'
'-x,-y,-z'
'-y,x-y,z'
'y,-x+y,-z'
'-x+y,-x,z'
'x-y,x,-z'
loop_
_atom_site_label
_atom_site_fract_x
_atom_site_fract_y
_atom_site_fract_z
Cs1 0.0016 0.6221 0.2412
Na1 0.0000 0.0000 0.0000
I1 0.0011 0.7408 0.7503
I2 0.3333 0.6667 0.9960
# - Formation energy (no corrections): -1308 meV/atom
# - Total magnetization: 0.05 μB per formula unit